Material: Zr2AlSe
Method: DFT, GGA-PBE
State: relaxed

* raw formation energy: -0.56 eV/atom
* total DFT energy (no corrections): -6.640 eV per atom
* DOS(E_F): 2.42 states/eV per cell

Cell: 4.965 4.965 3.326 Å, 97.12 97.12 100.24°
Element x y z (fractional)
Zr: 0.000 0.500 0.000
Zr: 0.500 0.000 0.000
Al: 0.000 0.000 0.500
Se: 0.500 0.500 0.500

***

Material: La2TaIn
Method: DFT, GGA-PBE
State: relaxed

* total DFT energy (no corrections): -5.829 eV per atom
* DOS(E_F): 4.93 states/eV per cell
* formation energy: 282.9 meV per atom

Cell: 11.371 11.371 11.371 Å, 17.08 17.08 17.08°
Element x y z (fractional)
La: 0.245 0.245 0.245
La: 0.755 0.755 0.755
Ta: 0.500 0.500 0.500
In: 0.000 0.000 0.000

***

Material: Na3Zn2Sn9
Method: DFT, GGA-PBE
State: relaxed

* total DFT energy (no corrections): -3.093 eV per atom
* DOS(E_F): 4.88 states/eV per cell
* formation energy: -55.5 meV per atom

Cell: 9.509 9.509 9.509 Å, 153.07 95.32 90.90°
Element x y z (fractional)
Na: 0.000 0.000 0.000
Na: 0.291 0.291 0.000
Na: 0.709 0.709 0.000
Zn: 0.339 0.500 0.839
Zn: 0.661 0.500 0.161
Sn: 0.013 0.374 0.638
Sn: 0.152 0.853 0.299
Sn: 0.264 0.626 0.638
Sn: 0.446 0.147 0.299
Sn: 0.500 0.000 0.500
Sn: 0.554 0.853 0.701
Sn: 0.736 0.374 0.362
Sn: 0.848 0.147 0.701
Sn: 0.987 0.626 0.362

***

Material: TlZnRu2
Method: DFT, GGA-PBE
State: relaxed

* total DFT energy (no corrections): -5.298 eV per atom
* DOS(E_F): 3.69 states/eV per cell
* formation energy: 250.2 meV per atom

Cell: 2.891 2.891 8.328 Å, 90.00 90.00 90.00°
Element x y z (fractional)
Tl: 0.000 0.000 0.000
Zn: 0.500 0.500 0.327
Ru: 0.000 0.000 0.536
Ru: 0.500 0.500 0.728

***

Material: CrCo2
Method: DFT, GGA-PBE
State: relaxed

* total DFT energy (no corrections): -7.857 eV per atom
* DOS(E_F): 12.72 states/eV per cell
* formation energy: 87.7 meV per atom

Cell: 6.759 6.759 2.458 Å, 90.00 90.00 120.00°
Element x y z (fractional)
Cr: 0.000 0.000 0.000
Cr: 0.333 0.667 0.500
Cr: 0.667 0.333 0.500
Co: 0.000 0.308 0.500
Co: 0.000 0.645 0.000
Co: 0.308 0.000 0.500
Co: 0.355 0.355 0.000
Co: 0.645 0.000 0.000
Co: 0.692 0.692 0.500

***

Material: DyY2TmAs4
Method: DFT, GGA-PBE
State: relaxed

* total DFT energy (no corrections): -6.614 eV per atom
* DOS(E_F): 1.03 states/eV per cell
* formation energy: -1538.7 meV per atom

Cell: 7.113 4.109 7.114 Å, 90.00 109.46 90.00°
Element x y z (fractional)
Dy: 0.000 0.000 0.000
Y: 0.000 0.500 0.500
Y: 0.500 0.000 0.500
Tm: 0.500 0.500 0.000
As: 0.251 0.500 0.248
As: 0.253 0.000 0.753
As: 0.747 0.000 0.247
As: 0.749 0.500 0.752

***

Material: Mg2Cr2Te
Method: DFT, GGA-PBE
State: relaxed

* raw formation energy: 0.37 eV/atom
* total DFT energy (no corrections): -4.741 eV per atom
* DOS(E_F): 6.22 states/eV per cell

Cell: 9.190 9.190 9.190 Å, 159.24 159.24 29.53°
Element x y z (fractional)
Mg: 0.120 0.120 0.000
Mg: 0.880 0.880 0.000
Cr: 0.250 0.750 0.500
Cr: 0.750 0.250 0.500
Te: 0.500 0.500 0.000

***

Material: HoGeS3
Method: DFT, GGA-PBE
State: relaxed

* raw formation energy: -1.05 eV/atom
* total DFT energy (no corrections): -5.361 eV per atom
* DOS(E_F): 2.01 states/eV per cell

Cell: 6.919 6.580 10.797 Å, 90.00 90.00 90.00°
Element x y z (fractional)
Ho: 0.103 0.068 0.000
Ho: 0.397 0.568 0.500
Ho: 0.603 0.432 0.000
Ho: 0.897 0.932 0.500
Ge: 0.084 0.541 0.162
Ge: 0.416 0.041 0.662
Ge: 0.584 0.959 0.162
Ge: 0.916 0.459 0.662
S: 0.100 0.682 0.354
S: 0.156 0.242 0.554
S: 0.156 0.752 0.662
S: 0.344 0.252 0.162
S: 0.344 0.742 0.054
S: 0.400 0.182 0.854
S: 0.600 0.818 0.354
S: 0.656 0.258 0.554
S: 0.656 0.748 0.662
S: 0.844 0.248 0.162
S: 0.844 0.758 0.054
S: 0.900 0.318 0.854

***

Material: MgVH2Os
Method: DFT, GGA-PBE
State: relaxed

* total DFT energy (no corrections): -4.916 eV per atom
* DOS(E_F): 3.21 states/eV per cell

Cell: 3.451 3.451 5.915 Å, 90.00 90.00 90.00°
Element x y z (fractional)
Mg: 0.000 0.000 0.000
V: 0.500 0.500 0.500
H: 0.000 0.500 0.000
H: 0.500 0.000 0.000
Os: 0.000 0.000 0.500

***

Material: Ac2TbSi3Pt12
Method: DFT, GGA-PBE
State: relaxed

* raw formation energy: -0.57 eV/atom
* total DFT energy (no corrections): -6.216 eV per atom
* DOS(E_F): 8.23 states/eV per cell

Cell: 7.904 7.904 7.904 Å, 64.04 64.04 64.04°
Element x y z (fractional)
Ac: 0.103 0.103 0.103
Ac: 0.897 0.897 0.897
Tb: 0.500 0.500 0.500
Si: 0.000 0.500 0.500
Si: 0.500 0.000 0.500
Si: 0.500 0.500 0.000
Pt: 0.101 0.638 0.638
Pt: 0.155 0.155 0.598
Pt: 0.155 0.598 0.155
Pt: 0.362 0.362 0.899
Pt: 0.362 0.899 0.362
Pt: 0.402 0.845 0.845
Pt: 0.598 0.155 0.155
Pt: 0.638 0.101 0.638
Pt: 0.638 0.638 0.101
Pt: 0.845 0.402 0.845
Pt: 0.845 0.845 0.402
Pt: 0.899 0.362 0.362

***

Material: CaBeCdSb2
Method: DFT, GGA-PBE
State: relaxed

* raw formation energy: -0.02 eV/atom
* total DFT energy (no corrections): -2.996 eV per atom
* DOS(E_F): 4.08 states/eV per cell

Cell: 5.149 5.149 4.761 Å, 90.00 90.00 90.00°
Element x y z (fractional)
Ca: 0.000 0.000 0.000
Be: 0.500 0.500 0.500
Cd: 0.500 0.500 0.000
Sb: 0.000 0.500 0.500
Sb: 0.500 0.000 0.500

***

Material: HfAs2BrCl
Method: DFT, GGA-PBE
State: relaxed

* raw formation energy: 0.83 eV/atom
* total DFT energy (no corrections): -3.721 eV per atom
* DOS(E_F): 4.32 states/eV per cell

Cell: 4.669 4.669 5.620 Å, 90.00 90.00 90.00°
Element x y z (fractional)
Hf: 0.000 0.000 0.000
As: 0.000 0.500 0.500
As: 0.500 0.000 0.500
Br: 0.500 0.500 0.000
Cl: 0.500 0.500 0.500

***

Material: Sr2P2Au
Method: DFT, GGA-PBE
State: relaxed

* total DFT energy (no corrections): -4.090 eV per atom
* DOS(E_F): 2.02 states/eV per cell
* formation energy: -598.3 meV per atom

Cell: 5.984 5.984 5.984 Å, 123.08 123.08 84.75°
Element x y z (fractional)
Sr: 0.250 0.750 0.500
Sr: 0.750 0.250 0.500
P: 0.122 0.122 0.000
P: 0.878 0.878 0.000
Au: 0.500 0.500 0.000

***

Material: BeRuPt2
Method: DFT, GGA-PBE
State: relaxed

* total DFT energy (no corrections): -6.530 eV per atom
* DOS(E_F): 5.25 states/eV per cell
* formation energy: -259.4 meV per atom

Cell: 2.776 2.776 6.876 Å, 90.00 90.00 90.00°
Element x y z (fractional)
Be: 0.000 0.000 0.000
Ru: 0.500 0.500 0.788
Pt: 0.000 0.000 0.513
Pt: 0.500 0.500 0.200

***

Material: Pm8Er5Th
Method: DFT, GGA-PBE
State: relaxed

* total DFT energy (no corrections): -4.591 eV per atom
* DOS(E_F): 21.51 states/eV per cell
* formation energy: 282.8 meV per atom

Cell: 8.527 8.527 8.527 Å, 111.10 111.10 106.27°
Element x y z (fractional)
Pm: 0.077 0.338 0.604
Pm: 0.154 0.427 0.084
Pm: 0.344 0.071 0.916
Pm: 0.527 0.923 0.261
Pm: 0.573 0.656 0.727
Pm: 0.662 0.266 0.739
Pm: 0.734 0.473 0.396
Pm: 0.929 0.846 0.273
Er: 0.035 0.721 0.909
Er: 0.279 0.187 0.314
Er: 0.500 0.500 0.000
Er: 0.813 0.127 0.091
Er: 0.873 0.965 0.686
Th: 0.250 0.750 0.500

***

Material: Ge2CI
Method: DFT, GGA-PBE
State: relaxed

* raw formation energy: 0.80 eV/atom
* total DFT energy (no corrections): -4.198 eV per atom
* DOS(E_F): 3.69 states/eV per cell

Cell: 6.118 6.118 6.118 Å, 115.47 115.47 98.05°
Element x y z (fractional)
Ge: 0.007 0.625 0.882
Ge: 0.375 0.257 0.382
Ge: 0.743 0.125 0.118
Ge: 0.875 0.993 0.618
C: 0.000 0.000 0.000
C: 0.750 0.250 0.500
I: 0.250 0.750 0.500
I: 0.500 0.500 0.000

***

Material: ZrGaCu2As
Method: DFT, GGA-PBE
State: relaxed

* total DFT energy (no corrections): -4.548 eV per atom
* DOS(E_F): 1.79 states/eV per cell
* formation energy: 335.7 meV per atom

Cell: 4.363 4.363 5.182 Å, 90.00 90.00 90.00°
Element x y z (fractional)
Zr: 0.000 0.000 0.000
Ga: 0.000 0.000 0.500
Cu: 0.000 0.500 0.500
Cu: 0.500 0.000 0.500
As: 0.500 0.500 0.000

***

Material: LiPAuF2
Method: DFT, GGA-PBE
State: relaxed

* raw formation energy: -0.19 eV/atom
* total DFT energy (no corrections): -3.056 eV per atom
* DOS(E_F): 2.44 states/eV per cell

Cell: 4.169 4.169 6.138 Å, 90.00 90.00 90.00°
Element x y z (fractional)
Li: 0.000 0.000 0.000
P: 0.500 0.500 0.000
Au: 0.000 0.000 0.500
F: 0.000 0.500 0.500
F: 0.500 0.000 0.500

***

Material: Mg4Ta3ZnN8
Method: DFT, GGA-PBE
State: relaxed

* raw formation energy: -0.94 eV/atom
* total DFT energy (no corrections): -7.800 eV per atom
* DOS(E_F): 2.62 states/eV per cell

Cell: 6.234 6.234 6.234 Å, 59.61 59.61 59.61°
Element x y z (fractional)
Mg: 0.000 0.000 0.000
Mg: 0.000 0.500 0.500
Mg: 0.500 0.000 0.500
Mg: 0.500 0.500 0.000
Ta: 0.000 0.000 0.500
Ta: 0.000 0.500 0.000
Ta: 0.500 0.000 0.000
Zn: 0.500 0.500 0.500
N: 0.232 0.752 0.752
N: 0.246 0.246 0.246
N: 0.248 0.248 0.768
N: 0.248 0.768 0.248
N: 0.752 0.232 0.752
N: 0.752 0.752 0.232
N: 0.754 0.754 0.754
N: 0.768 0.248 0.248

***

Material: CaRh2Br
Method: DFT, GGA-PBE
State: relaxed

* raw formation energy: -0.11 eV/atom
* total DFT energy (no corrections): -4.709 eV per atom
* DOS(E_F): 4.21 states/eV per cell

Cell: 5.534 5.534 4.608 Å, 90.41 90.41 33.63°
Element x y z (fractional)
Ca: 0.000 0.000 0.000
Rh: 0.277 0.277 0.221
Rh: 0.723 0.723 0.779
Br: 0.500 0.500 0.500